MnCuMo2F: optimized geometry, PBE with a Hubbard U.

a = 4.7085 Å, b = 4.7085 Å, c = 4.2229 Å
α = 90.00°, β = 90.00°, γ = 90.00°
Positions (direct):
Mn 0.0000 0.0000 0.0000
Cu 0.5000 0.5000 0.0000
Mo 0.0000 0.5000 0.5000
Mo 0.5000 0.0000 0.5000
F 0.0000 0.0000 0.5000

Properties
E_tot   -4.894 eV per atom